# 1
## La3NiIr (PBE)

Data for an optimized crystal structure of La3NiIr.

Summary:
Symmetry: Pm-3m
Calculated volume: 34.51 Å³ per atom
Relative energy among the computed polymorphs: 0.496 eV/atom
N(E_F): 4.9 states/eV per cell
ΔH_f (0 K): 35 meV/atom

a = 5.5673 Å, b = 5.5673 Å, c = 5.5673 Å
α = 90.00°, β = 90.00°, γ = 90.00°
Fractional coordinates of all 5 atoms:
La (0.0000, 0.0000, 0.5000)
La (0.0000, 0.5000, 0.0000)
La (0.5000, 0.0000, 0.0000)
Ni (0.5000, 0.5000, 0.5000)
Ir (0.0000, 0.0000, 0.0000)



# 2
## LaNiIr2 (PBE)

Data for an optimized crystal structure of LaNiIr2.

Summary:
Symmetry: P4/mmm
Calculated volume: 17.34 Å³ per atom
Relative energy among the computed polymorphs: 0.575 eV/atom
N(E_F): 5.2 states/eV per cell
ΔH_f (0 K): 22 meV/atom

a = 3.1058 Å, b = 3.1058 Å, c = 7.1898 Å
α = 90.00°, β = 90.00°, γ = 90.00°
Fractional coordinates of all 4 atoms:
La (0.0000, 0.0000, 0.0000)
Ni (0.0000, 0.0000, 0.5000)
Ir (0.5000, 0.5000, 0.3093)
Ir (0.5000, 0.5000, 0.6907)



# 3
## LaNiIr2 (PBE)

Data for an optimized crystal structure of LaNiIr2.

Summary:
Symmetry: P4/mmm
Calculated volume: 17.34 Å³ per atom
Relative energy among the computed polymorphs: 0.455 eV/atom
N(E_F): 5.6 states/eV per cell
ΔH_f (0 K): -99 meV/atom

a = 4.0583 Å, b = 4.0583 Å, c = 4.2126 Å
α = 90.00°, β = 90.00°, γ = 90.00°
Fractional coordinates of all 4 atoms:
La (0.0000, 0.0000, 0.0000)
Ni (0.5000, 0.5000, 0.0000)
Ir (0.0000, 0.5000, 0.5000)
Ir (0.5000, 0.0000, 0.5000)



Q: Among the records above, which one has the highest N(E_F)?
A: number 3



Q: calculated volume of number 3 (LaNiIr2)?
A: 17.34 Å³ per atom



Q: What is the ΔH_f (0 K) in the second record?
A: 22 meV/atom